Entry 1:
A relaxed HoTh2Si2 crystal, computed with PBE.

Cell lengths 4.278, 7.637, 7.637 Å; angles 90.00, 90.00, 90.00 degrees
Atoms (fractional coordinates):
Th1 0.500 0.679 0.821
Th2 0.500 0.179 0.679
Th3 0.500 0.321 0.179
Th4 0.500 0.821 0.321
Ho1 0.000 0.000 0.000
Ho2 0.000 0.500 0.500
Si1 0.000 0.617 0.117
Si2 0.000 0.117 0.383
Si3 0.000 0.883 0.617
Si4 0.000 0.383 0.883

Output
Crystal system: tetragonal
Space-group type: P4/mbm
Energy, eV/cell: -67.3
M_tot, μB/cell: 0.00


Entry 2:
A relaxed Al3V7W2 crystal, computed with PBE.

Cell lengths 4.109, 4.025, 11.424 Å; angles 100.15, 90.00, 90.00 degrees
Atoms (fractional coordinates):
Al1 0.500 0.346 0.691
Al2 0.500 0.500 0.000
Al3 0.500 0.654 0.309
V1 0.000 0.270 0.540
V2 0.500 0.927 0.855
V3 0.000 0.425 0.850
V4 0.000 0.575 0.150
V5 0.000 0.000 0.000
V6 0.500 0.073 0.145
V7 0.000 0.730 0.460
W1 0.000 0.852 0.705
W2 0.000 0.148 0.295

Output
Crystal system: orthorhombic
Formation energy, kJ/mol of formula units: 255
Space-group type: Cmmm
Energy, eV/cell: -98.3
M_tot, μB/cell: 0.00


Entry 3:
A relaxed NdYAs2 crystal, computed with PBE.

Cell lengths 4.202, 4.202, 7.265 Å; angles 73.17, 73.17, 60.03 degrees
Atoms (fractional coordinates):
As1 0.253 0.253 0.241
As2 0.747 0.747 0.759
Y1 0.000 0.000 0.000
Nd1 0.500 0.500 0.500

Output
Crystal system: trigonal
Formation energy, kJ/mol of formula units: -591
Space-group type: R-3m
Energy relative to the lowest polymorph listed for this composition, meV per atom: 0
Energy, eV/cell: -26.7
M_tot, μB/cell: 0.00


Entry 4:
A relaxed Pr6InOs crystal, computed with PBE.

Cell lengths 6.725, 8.217, 6.676 Å; angles 52.02, 80.80, 74.94 degrees
Atoms (fractional coordinates):
Pr1 0.639 0.787 0.000
Pr2 0.789 0.561 0.628
Pr3 0.211 0.812 0.628
Pr4 0.361 0.213 0.000
Pr5 0.211 0.439 0.372
Pr6 0.789 0.188 0.372
In1 0.000 0.000 0.000
Os1 0.500 0.500 0.000

Output
Crystal system: monoclinic
Formation energy, kJ/mol of formula units: 4
Space-group type: C2/m
Energy, eV/cell: -42.6
M_tot, μB/cell: 0.00


Entry 5:
A relaxed Na4PdPt3O8 crystal, computed with PBE.

Cell lengths 6.188, 6.079, 7.116 Å; angles 118.98, 115.77, 90.00 degrees
Atoms (fractional coordinates):
O1 0.286 0.755 0.573
O2 0.211 0.243 0.421
O3 0.315 0.379 0.128
O4 0.789 0.757 0.579
O5 0.685 0.621 0.872
O6 0.813 0.379 0.128
O7 0.187 0.621 0.872
O8 0.714 0.245 0.427
Pt1 0.500 0.500 0.500
Pt2 0.500 0.500 0.000
Pt3 0.000 0.500 0.500
Na1 0.500 0.000 0.000
Na2 0.000 0.000 0.500
Na3 0.000 0.000 0.000
Na4 0.500 0.000 0.500
Pd1 0.000 0.500 0.000

Output
Crystal system: monoclinic
Space-group type: C2/m
Energy, eV/cell: -83.4
M_tot, μB/cell: 0.00


Entry 6:
A relaxed Pm2Dy4Ho2Tm crystal, computed with PBE.

Cell lengths 3.588, 9.476, 9.529 Å; angles 115.21, 90.00, 100.91 degrees
Atoms (fractional coordinates):
Ho1 0.853 0.706 0.337
Ho2 0.147 0.294 0.663
Dy1 0.185 0.371 0.335
Dy2 0.815 0.629 0.665
Dy3 0.519 0.038 0.334
Dy4 0.481 0.962 0.666
Pm1 0.335 0.669 0.002
Pm2 0.665 0.331 0.998
Tm1 0.000 0.000 0.000

Output
Crystal system: monoclinic
Formation energy, kJ/mol of formula units: -1
Space-group type: C2/m
Energy, eV/cell: -41.5
M_tot, μB/cell: 0.00


Which value of energy does entry 6 give?
-41.5 eV/cell


The lowest energy belongs to which entry?
Al3V7W2